This record from Alexandria describes crystalline Ir2RhCl2 at its relaxed geometry. The functional is GGA-PBE.

Cell lengths 7.4943, 7.4943, 2.8916 Å; angles 90.00, 90.00, 90.00 degrees
Closest atoms and distances in Å follow each position.
Space group P4/mbm (No. 127)
Symmetry-distinct sites (fractional):
Ir: 0.1815 0.3185 0.0000  2 Cl 2.39
Rh: 0.0000 0.0000 0.0000  4 Ir 2.75, 2 Rh 2.89
Cl: 0.1392 0.6392 0.5000  2 Ir 2.39

The calculation puts the raw formation energy at 1.131 eV per atom. As for the density of states at the Fermi level: 12.869 states/eV/cell. The calculated volume is 162.4 Å³ per cell. The mass density comes out at 11.416 g/cm³. As for the total magnetic moment: 0.00 μB/f.u.